ReAgRh3 GGA-PBE optimized geometry; energy relative to the lowest polymorph listed for this composition = 1.324 eV per atom; space-group type = Pm-3m (221); DFT formation energy = 2.45 eV per atom; crystal system = cubic
1.0
4.650 0.000 0.000
0.000 4.650 0.000
0.000 0.000 4.650
Re Ag Rh
1 1 3
direct
0.000 0.000 0.000
0.500 0.500 0.500
0.000 0.500 0.500
0.500 0.000 0.500
0.500 0.500 0.000

---

DyTmCu4 GGA-PBE optimized geometry; energy relative to the lowest polymorph listed for this composition = 0.000 eV per atom; space-group type = Imm2 (44); DFT formation energy = -0.28 eV per atom; crystal system = orthorhombic
1.0
4.267 0.000 0.000
0.000 6.777 0.000
0.000 0.000 7.311
Dy Tm Cu
2 2 8
direct
0.000 0.000 0.000
0.500 0.500 0.500
0.000 0.500 0.910
0.500 0.000 0.410
0.000 0.197 0.618
0.000 0.301 0.289
0.000 0.699 0.289
0.000 0.803 0.618
0.500 0.199 0.789
0.500 0.303 0.118
0.500 0.697 0.118
0.500 0.801 0.789

---

NbReF2 GGA-PBE optimized geometry; energy relative to the lowest polymorph listed for this composition = 0.188 eV per atom; space-group type = R-3m (166); formation energy without anion corrections = -0.55 eV/atom; crystal system = trigonal
1.0
2.808 0.000 0.000
-1.404 2.432 0.000
0.000 0.000 30.523
Nb Re F
3 3 6
direct
0.000 0.000 0.000
0.333 0.667 0.667
0.667 0.333 0.333
0.000 0.000 0.500
0.333 0.667 0.167
0.667 0.333 0.833
0.000 0.000 0.063
0.000 0.000 0.937
0.333 0.667 0.604
0.333 0.667 0.729
0.667 0.333 0.271
0.667 0.333 0.396

---

Li3Ac2PrSn4 GGA-PBE optimized geometry; space-group type = P-4m2 (115); DFT formation energy = -0.59 eV per atom; crystal system = tetragonal
1.0
4.749 0.000 0.000
0.000 4.749 0.000
0.000 0.000 12.372
Li Ac Pr Sn
3 2 1 4
direct
0.000 0.000 0.000
0.000 0.500 0.620
0.500 0.000 0.380
0.000 0.500 0.278
0.500 0.000 0.722
0.500 0.500 0.000
0.000 0.000 0.500
0.000 0.500 0.838
0.500 0.000 0.162
0.500 0.500 0.500

---

MnHSN2 GGA-PBE optimized geometry; energy relative to the lowest polymorph listed for this composition = 0.000 eV per atom; space-group type = P4/mmm (123); crystal system = tetragonal
1.0
3.486 0.000 0.000
0.000 3.486 0.000
0.000 0.000 4.924
Mn H S N
1 1 1 2
direct
0.000 0.000 0.000
0.500 0.500 0.500
0.000 0.000 0.500
0.000 0.500 0.000
0.500 0.000 0.000

---

SiB GGA-PBE optimized geometry; energy relative to the lowest polymorph listed for this composition = 0.289 eV per atom; space-group type = P6_3/m (176); formation energy without anion corrections = 0.49 eV/atom; crystal system = hexagonal
1.0
7.820 0.000 0.000
-3.910 6.773 0.000
0.000 0.000 3.388
Si B
6 6
direct
0.124 0.712 0.250
0.288 0.412 0.250
0.412 0.124 0.750
0.588 0.876 0.250
0.712 0.588 0.750
0.876 0.288 0.750
0.026 0.393 0.250
0.368 0.974 0.250
0.393 0.368 0.750
0.607 0.632 0.250
0.632 0.026 0.750
0.974 0.607 0.750

---

PaGa2H GGA-PBE optimized geometry; energy relative to the lowest polymorph listed for this composition = 0.072 eV per atom; space-group type = R-3m (166); crystal system = trigonal
1.0
3.085 0.000 0.000
-1.543 2.672 0.000
0.000 0.000 25.572
Pa Ga H
3 6 3
direct
0.000 0.000 0.000
0.333 0.667 0.667
0.667 0.333 0.333
0.000 0.000 0.432
0.000 0.000 0.568
0.333 0.667 0.099
0.333 0.667 0.235
0.667 0.333 0.765
0.667 0.333 0.901
0.000 0.000 0.500
0.333 0.667 0.167
0.667 0.333 0.833

---

Rb2CaBr6N GGA-PBE optimized geometry; space-group type = I4/mmm (139); formation energy without anion corrections = -0.81 eV/atom; crystal system = tetragonal
1.0
-3.696 3.696 6.300
3.696 -3.696 6.300
3.696 3.696 -6.300
Rb Ca Br N
2 1 6 1
direct
0.250 0.750 0.500
0.750 0.250 0.500
0.000 0.000 0.000
0.223 0.223 0.000
0.279 0.279 0.559
0.279 0.721 0.000
0.721 0.279 0.000
0.721 0.721 0.441
0.777 0.777 0.000
0.500 0.500 0.000

---

Mg2AlAg GGA-PBE optimized geometry; space-group type = Cmcm (63); DFT formation energy = -0.12 eV per atom; crystal system = orthorhombic
1.0
8.593 0.000 0.000
0.000 6.990 0.000
0.000 0.000 5.139
Mg Al Ag
8 4 4
direct
0.189 0.158 0.250
0.189 0.842 0.750
0.311 0.342 0.750
0.311 0.658 0.250
0.689 0.342 0.750
0.689 0.658 0.250
0.811 0.158 0.250
0.811 0.842 0.750
0.000 0.500 0.000
0.000 0.500 0.500
0.500 0.000 0.000
0.500 0.000 0.500
0.000 0.165 0.750
0.000 0.835 0.250
0.500 0.335 0.250
0.500 0.665 0.750

---

NaCa4N GGA-PBE optimized geometry; space-group type = C2/c (15); formation energy without anion corrections = -0.30 eV/atom; crystal system = monoclinic
1.0
8.429 -3.247 0.000
8.429 3.247 0.000
-2.081 0.000 6.824
Na Ca N
2 8 2
direct
0.122 0.878 0.750
0.878 0.122 0.250
0.164 0.254 0.683
0.254 0.164 0.183
0.275 0.498 0.068
0.498 0.275 0.568
0.502 0.725 0.432
0.725 0.502 0.932
0.746 0.836 0.817
0.836 0.746 0.317
0.000 0.500 0.000
0.500 0.000 0.500

---

Y2TiIn2 GGA-PBE optimized geometry; energy relative to the lowest polymorph listed for this composition = 0.000 eV per atom; space-group type = P4/mbm (127); DFT formation energy = -0.21 eV per atom; crystal system = tetragonal
1.0
7.585 0.000 0.000
0.000 7.585 0.000
0.000 0.000 4.533
Y Ti In
4 2 4
direct
0.173 0.327 0.000
0.327 0.827 0.000
0.673 0.173 0.000
0.827 0.673 0.000
0.000 0.000 0.500
0.500 0.500 0.500
0.135 0.635 0.500
0.365 0.135 0.500
0.635 0.865 0.500
0.865 0.365 0.500

---

CsRb2I7 GGA-PBE optimized geometry; space-group type = I4/mmm (139); formation energy without anion corrections = -0.69 eV/atom; crystal system = tetragonal
1.0
-4.552 4.552 7.744
4.552 -4.552 7.744
4.552 4.552 -7.744
Cs Rb I
1 2 7
direct
0.000 0.000 0.000
0.250 0.750 0.500
0.750 0.250 0.500
0.237 0.237 0.000
0.275 0.275 0.551
0.275 0.725 0.000
0.500 0.500 0.000
0.725 0.275 0.000
0.725 0.725 0.449
0.763 0.763 0.000

---

MgAgHg GGA-PBE optimized geometry; energy relative to the lowest polymorph listed for this composition = 0.125 eV per atom; space-group type = P3m1 (156); DFT formation energy = -0.05 eV per atom; crystal system = trigonal
1.0
3.184 0.000 0.000
-1.592 2.757 0.000
0.000 0.000 7.080
Mg Ag Hg
1 1 1
direct
0.000 0.000 0.000
0.333 0.667 0.310
0.667 0.333 0.655

---

DyHo7Th3 GGA-PBE optimized geometry; energy relative to the lowest polymorph listed for this composition = 0.000 eV per atom; space-group type = P2/m (10); DFT formation energy = 0.15 eV per atom; crystal system = monoclinic
1.0
6.895 0.000 0.000
0.000 5.489 0.000
-3.421 0.000 9.482
Dy Ho Th
1 7 3
direct
0.000 0.000 0.000
0.086 0.000 0.671
0.175 0.500 0.861
0.361 0.500 0.208
0.500 0.000 0.500
0.639 0.500 0.792
0.825 0.500 0.139
0.914 0.000 0.329
0.223 0.500 0.501
0.500 0.000 0.000
0.777 0.500 0.499

---

NaCu2Bi2 GGA-PBE optimized geometry; energy relative to the lowest polymorph listed for this composition = 0.049 eV per atom; space-group type = I4/mmm (139); DFT formation energy = 0.10 eV per atom; crystal system = tetragonal
1.0
4.953 0.000 0.000
0.000 4.953 0.000
0.000 0.000 10.092
Na Cu Bi
2 4 4
direct
0.000 0.000 0.000
0.500 0.500 0.500
0.000 0.000 0.379
0.000 0.000 0.621
0.500 0.500 0.121
0.500 0.500 0.879
0.000 0.500 0.250
0.000 0.500 0.750
0.500 0.000 0.250
0.500 0.000 0.750

---

ZrCd2AgS GGA-PBE optimized geometry; space-group type = P4/mmm (123); formation energy without anion corrections = 1.18 eV/atom; crystal system = tetragonal
1.0
5.654 0.000 0.000
0.000 5.654 0.000
0.000 0.000 5.276
Zr Cd Ag S
1 2 1 1
direct
0.000 0.000 0.000
0.000 0.500 0.000
0.500 0.000 0.000
0.000 0.000 0.500
0.500 0.500 0.500

---

AlTeSe2 GGA-PBE optimized geometry; energy relative to the lowest polymorph listed for this composition = 0.274 eV per atom; space-group type = Cm (8); formation energy without anion corrections = -0.17 eV/atom; crystal system = monoclinic
1.0
11.568 0.000 0.000
0.000 3.577 0.000
-1.222 0.000 5.089
Al Te Se
2 2 4
direct
0.000 0.000 0.000
0.500 0.500 0.000
0.321 0.000 0.646
0.821 0.500 0.646
0.148 0.500 0.999
0.470 0.000 0.342
0.648 0.000 0.999
0.970 0.500 0.342

---

TcIr6Os2 GGA-PBE optimized geometry; energy relative to the lowest polymorph listed for this composition = 0.000 eV per atom; space-group type = C2/m (12); DFT formation energy = -0.02 eV per atom; crystal system = monoclinic
1.0
5.958 -1.365 0.000
5.958 1.365 0.000
-1.885 0.000 8.005
Tc Ir Os
1 6 2
direct
0.000 0.000 0.000
0.000 0.000 0.327
0.000 0.000 0.673
0.333 0.333 0.109
0.333 0.333 0.446
0.667 0.667 0.554
0.667 0.667 0.891
0.334 0.334 0.777
0.666 0.666 0.223

---

TiAl2Ga2 GGA-PBE optimized geometry; space-group type = Fddd (70); DFT formation energy = 0.11 eV per atom; crystal system = orthorhombic
1.0
0.000 4.734 8.992
2.185 0.000 8.992
2.185 4.734 0.000
Ti Al Ga
2 4 4
direct
0.125 0.125 0.125
0.875 0.875 0.875
0.188 0.562 0.188
0.438 0.812 0.438
0.562 0.188 0.562
0.812 0.438 0.812
0.264 0.264 0.486
0.486 0.486 0.264
0.514 0.514 0.736
0.736 0.736 0.514

---

CaCu3Ru4O12 GGA-PBE optimized geometry; space-group type = Im-3 (204); formation energy without anion corrections = -1.05 eV/atom; crystal system = cubic
1.0
-3.743 3.743 3.743
3.743 -3.743 3.743
3.743 3.743 -3.743
Ca Cu Ru O
1 3 4 12
direct
0.000 0.000 0.000
0.000 0.500 0.500
0.500 0.000 0.500
0.500 0.500 0.000
0.000 0.000 0.500
0.000 0.500 0.000
0.500 0.000 0.000
0.500 0.500 0.500
0.136 0.828 0.307
0.172 0.307 0.479
0.172 0.693 0.864
0.307 0.136 0.828
0.307 0.479 0.172
0.479 0.172 0.307
0.521 0.828 0.693
0.693 0.521 0.828
0.693 0.864 0.172
0.828 0.307 0.136
0.828 0.693 0.521
0.864 0.172 0.693

---

CoNi2As GGA-PBE optimized geometry; space-group type = Pm (6); DFT formation energy = -0.01 eV per atom; crystal system = monoclinic
1.0
2.725 0.000 0.000
0.000 3.666 0.000
-1.361 0.000 4.787
Co Ni As
1 2 1
direct
0.000 0.000 0.000
0.259 0.000 0.517
0.649 0.500 0.295
0.405 0.500 0.811

---

ScAgSb2Te GGA-PBE optimized geometry; energy relative to the lowest polymorph listed for this composition = 0.000 eV per atom; space-group type = P4/mmm (123); formation energy without anion corrections = 0.24 eV/atom; crystal system = tetragonal
1.0
5.479 0.000 0.000
0.000 5.479 0.000
0.000 0.000 5.494
Sc Ag Sb Te
1 1 2 1
direct
0.000 0.000 0.000
0.500 0.500 0.500
0.000 0.500 0.000
0.500 0.000 0.000
0.000 0.000 0.500

---

Na2CaMo GGA-PBE optimized geometry; energy relative to the lowest polymorph listed for this composition = 0.000 eV per atom; space-group type = Fm-3m (225); DFT formation energy = 0.98 eV per atom; crystal system = cubic
1.0
7.746 0.000 0.000
0.000 7.746 0.000
0.000 0.000 7.746
Na Ca Mo
8 4 4
direct
0.250 0.250 0.250
0.250 0.250 0.750
0.250 0.750 0.250
0.250 0.750 0.750
0.750 0.250 0.250
0.750 0.250 0.750
0.750 0.750 0.250
0.750 0.750 0.750
0.000 0.000 0.000
0.000 0.500 0.500
0.500 0.000 0.500
0.500 0.500 0.000
0.000 0.000 0.500
0.000 0.500 0.000
0.500 0.000 0.000
0.500 0.500 0.500

---

NbOsPtRh GGA-PBE optimized geometry; space-group type = Pmmm (47); DFT formation energy = -0.42 eV per atom; crystal system = orthorhombic
1.0
3.859 0.000 0.000
0.000 3.921 0.000
0.000 0.000 4.033
Nb Os Pt Rh
1 1 1 1
direct
0.000 0.000 0.000
0.500 0.500 0.000
0.000 0.500 0.500
0.500 0.000 0.500

---

Cs3Y2TmSe6 GGA-PBE optimized geometry; space-group type = C2/m (12); formation energy without anion corrections = -1.73 eV/atom; crystal system = monoclinic
1.0
3.683 -6.379 0.000
3.683 6.379 0.000
-2.456 0.000 8.368
Cs Y Tm Se
3 2 1 6
direct
0.000 0.000 0.000
0.332 0.668 0.000
0.668 0.332 0.000
0.167 0.833 0.500
0.833 0.167 0.500
0.500 0.500 0.500
0.109 0.438 0.315
0.232 0.232 0.685
0.438 0.109 0.315
0.562 0.891 0.685
0.768 0.768 0.315
0.891 0.562 0.685

---

Calculated D(E_F) (states/eV per cell), listed in the same order as above: 12.31, 5.63, 10.72, 1.94, 3.46, 3.31, 12.66, 0.00, 6.46, 7.70, 5.56, 0.00, 1.00, 14.52, 6.41, 4.33, 4.39, 8.71, 7.69, 14.92, 5.68, 4.49, 11.95, 2.49, 0.00